Density functional theory data (PBE-GGA) for crystalline ZnIBr2 at its relaxed geometry.

## Properties
Formation energy without anion corrections in eV per atom: -0.516
DFT total energy in eV/atom: -2.06
Distance to the lowest polymorph of the same formula in meV per atom: 120

Cell and atoms, written as POSCAR:
```
ZnIBr2
1.0
6.1587 0.0001 0.0004
2.7981 5.8781 0.0004
2.9615 1.0483 7.9325
I Br Zn
2 4 2
direct
0.3799 0.4480 0.0132
0.7815 0.2976 0.3489
0.6650 0.0041 0.8725
0.0292 0.4491 0.6765
0.1262 0.7914 0.2068
0.3686 0.8893 0.5529
0.6045 0.7313 0.7605
0.3379 0.5825 0.4506
```